# Ti12SbPb3 | Alexandria | GGA-PBE | relaxed
data_Ti12SbPb3
_chemical_formula_sum 'Ti12 Sb1 Pb3'
_cell_length_a 5.2718
_cell_length_b 5.2720
_cell_length_c 10.5448
_cell_angle_alpha 90.00
_cell_angle_beta 90.00
_cell_angle_gamma 90.00
_symmetry_space_group_name_H-M 'P m m m'
_symmetry_Int_Tables_number 47
_symmetry_space_group_name_Hall '-P 2 2'
loop_
_atom_site_label
_atom_site_type_symbol
_atom_site_fract_x
_atom_site_fract_y
_atom_site_fract_z
_atom_site_occupancy
Ti1 Ti 0.0000 0.0000 0.1239 1
Ti2 Ti 0.0000 0.0000 0.3747 1
Ti3 Ti 0.2489 0.5000 0.2547 1
Ti4 Ti 0.5000 0.2487 0.0000 1
Ti5 Ti 0.5000 0.2525 0.5000 1
Sb1 Sb 0.0000 0.5000 0.5000 1
Pb1 Pb 0.0000 0.5000 0.0000 1
Pb2 Pb 0.5000 0.0000 0.2503 1
# Formation energy (no corrections) (meV per atom): -141
# Size of the total moment (μB/f.u.): 2.2
# Total energy (eV/atom): -7.01

# Ti4SbPb | Alexandria | GGA-PBE | relaxed
data_Ti4SbPb
_chemical_formula_sum 'Ti8 Sb2 Pb2'
_cell_length_a 4.8579
_cell_length_b 5.6293
_cell_length_c 8.2496
_cell_angle_alpha 90.00
_cell_angle_beta 91.57
_cell_angle_gamma 90.00
_symmetry_space_group_name_H-M 'P 1 21/m 1'
_symmetry_Int_Tables_number 11
_symmetry_space_group_name_Hall '-P 2yb'
loop_
_atom_site_label
_atom_site_type_symbol
_atom_site_fract_x
_atom_site_fract_y
_atom_site_fract_z
_atom_site_occupancy
Ti1 Ti 0.1940 0.2500 0.0897 1
Ti2 Ti 0.2295 0.7500 0.4000 1
Ti3 Ti 0.2513 0.0005 0.7564 1
Sb1 Sb 0.2982 0.7500 0.0716 1
Pb1 Pb 0.2616 0.2500 0.4248 1
# Formation energy (no corrections) (meV per atom): -201
# Size of the total moment (μB/f.u.): 0.0
# Total energy (eV/atom): -6.77

# Ti2SbPb | Alexandria | GGA-PBE | relaxed
data_Ti2SbPb
_chemical_formula_sum 'Ti8 Sb4 Pb4'
_cell_length_a 6.3344
_cell_length_b 6.3344
_cell_length_c 12.5714
_cell_angle_alpha 90.00
_cell_angle_beta 90.00
_cell_angle_gamma 90.00
_symmetry_space_group_name_H-M 'I -4 2 d'
_symmetry_Int_Tables_number 122
_symmetry_space_group_name_Hall 'I -4 2bw'
loop_
_atom_site_label
_atom_site_type_symbol
_atom_site_fract_x
_atom_site_fract_y
_atom_site_fract_z
_atom_site_occupancy
Ti1 Ti 0.2455 0.2500 0.1250 1
Sb1 Sb 0.0000 0.0000 0.0000 1
Pb1 Pb 0.0000 0.0000 0.5000 1
# Formation energy (no corrections) (meV per atom): 598
# Size of the total moment (μB/f.u.): 0.0
# Total energy (eV/atom): -5.31

# TiSbPb3 | Alexandria | GGA-PBE | relaxed
data_TiSbPb3
_chemical_formula_sum 'Ti1 Sb1 Pb3'
_cell_length_a 5.7863
_cell_length_b 5.7863
_cell_length_c 5.7863
_cell_angle_alpha 90.00
_cell_angle_beta 90.00
_cell_angle_gamma 90.00
_symmetry_space_group_name_H-M 'P m -3 m'
_symmetry_Int_Tables_number 221
_symmetry_space_group_name_Hall '-P 4 2 3'
loop_
_atom_site_label
_atom_site_type_symbol
_atom_site_fract_x
_atom_site_fract_y
_atom_site_fract_z
_atom_site_occupancy
Ti1 Ti 0.0000 0.0000 0.0000 1
Sb1 Sb 0.5000 0.5000 0.5000 1
Pb1 Pb 0.0000 0.5000 0.5000 1
# Formation energy (no corrections) (meV per atom): 1158
# Size of the total moment (μB/f.u.): 0.0
# Total energy (eV/atom): -3.47

# Ti4SbPb | Alexandria | GGA-PBE | relaxed
data_Ti4SbPb
_chemical_formula_sum 'Ti8 Sb2 Pb2'
_cell_length_a 9.6103
_cell_length_b 3.1238
_cell_length_c 9.2906
_cell_angle_alpha 90.00
_cell_angle_beta 118.54
_cell_angle_gamma 90.00
_symmetry_space_group_name_H-M 'C 1 2/m 1'
_symmetry_Int_Tables_number 12
_symmetry_space_group_name_Hall '-C 2y'
loop_
_atom_site_label
_atom_site_type_symbol
_atom_site_fract_x
_atom_site_fract_y
_atom_site_fract_z
_atom_site_occupancy
Ti1 Ti 0.1959 0.0000 0.3412 1
Ti2 Ti 0.1992 0.0000 0.8538 1
Sb1 Sb 0.0000 0.0000 0.0000 1
Pb1 Pb 0.0000 0.0000 0.5000 1
# Formation energy (no corrections) (meV per atom): 140
# Size of the total moment (μB/f.u.): 0.0
# Total energy (eV/atom): -6.43

# Ti8SbPb2 | Alexandria | GGA-PBE | relaxed
data_Ti8SbPb2
_chemical_formula_sum 'Ti16 Sb2 Pb4'
_cell_length_a 16.0613
_cell_length_b 4.8610
_cell_length_c 5.2637
_cell_angle_alpha 90.00
_cell_angle_beta 94.82
_cell_angle_gamma 90.00
_symmetry_space_group_name_H-M 'C 1 2/m 1'
_symmetry_Int_Tables_number 12
_symmetry_space_group_name_Hall '-C 2y'
loop_
_atom_site_label
_atom_site_type_symbol
_atom_site_fract_x
_atom_site_fract_y
_atom_site_fract_z
_atom_site_occupancy
Ti1 Ti 0.0455 0.0000 0.2690 1
Ti2 Ti 0.0869 0.5000 0.5335 1
Ti3 Ti 0.1725 0.5000 0.1108 1
Ti4 Ti 0.2346 0.0000 0.3453 1
Sb1 Sb 0.0000 0.5000 0.0000 1
Pb1 Pb 0.1474 0.0000 0.7979 1
# Formation energy (no corrections) (meV per atom): -127
# Size of the total moment (μB/f.u.): 1.2
# Total energy (eV/atom): -6.92

# Ti2Sb2Pb | Alexandria | GGA-PBE | relaxed
data_Ti2Sb2Pb
_chemical_formula_sum 'Ti4 Sb4 Pb2'
_cell_length_a 7.6827
_cell_length_b 7.6827
_cell_length_c 3.7283
_cell_angle_alpha 90.00
_cell_angle_beta 90.00
_cell_angle_gamma 90.00
_symmetry_space_group_name_H-M 'P 4/m b m'
_symmetry_Int_Tables_number 127
_symmetry_space_group_name_Hall '-P 4 2ab'
loop_
_atom_site_label
_atom_site_type_symbol
_atom_site_fract_x
_atom_site_fract_y
_atom_site_fract_z
_atom_site_occupancy
Ti1 Ti 0.1401 0.3599 0.0000 1
Sb1 Sb 0.1514 0.6514 0.5000 1
Pb1 Pb 0.0000 0.0000 0.0000 1
# Formation energy (no corrections) (meV per atom): -225
# Size of the total moment (μB/f.u.): 0.0
# Total energy (eV/atom): -5.77

# Ti2SbPb | Alexandria | GGA-PBE | relaxed
data_Ti2SbPb
_chemical_formula_sum 'Ti6 Sb3 Pb3'
_cell_length_a 3.7557
_cell_length_b 3.7557
_cell_length_c 22.1320
_cell_angle_alpha 90.00
_cell_angle_beta 90.00
_cell_angle_gamma 120.00
_symmetry_space_group_name_H-M 'R 3 m'
_symmetry_Int_Tables_number 160
_symmetry_space_group_name_Hall 'R 3 -2"'
loop_
_atom_site_label
_atom_site_type_symbol
_atom_site_fract_x
_atom_site_fract_y
_atom_site_fract_z
_atom_site_occupancy
Ti1 Ti 0.0000 0.0000 0.0000 1
Ti2 Ti 0.0000 0.0000 0.1824 1
Sb1 Sb 0.0000 0.0000 0.5920 1
Pb1 Pb 0.0000 0.0000 0.4232 1
# Formation energy (no corrections) (meV per atom): -35
# Size of the total moment (μB/f.u.): 0.0
# Total energy (eV/atom): -5.94